First-principles (PBE) data for an optimized crystal structure of ZrTeP, as listed in Alexandria.

abc: 3.382 4.626 10.897
angles: 102.00 99.29 111.38
Positions (direct):
P 0.671 0.809 0.539
Zr 0.065 0.473 0.650
Te 0.478 0.796 0.171
Zr 0.935 0.527 0.350
P 0.329 0.191 0.461
Te 0.522 0.204 0.829

* V: 150 Å³ per cell
* raw formation energy: -0.751 eV per atom
* mass density: 5.53 g cm⁻³
* calculated total energy: -0.2371 Ha/atom